GaBPt3 after structural relaxation. Source: Alexandria via LeMat-Bulk, functional GGA-PBE.

Calculated values
Density of states at the Fermi level, states/eV per cell: 2.66
DFT formation energy, eV/atom: -0.342

a = 6.5339 Å, b = 3.3815 Å, c = 7.2799 Å
α = 90.00°, β = 116.31°, γ = 90.00°
Last column: nearest neighbours and their distance in Å.
Space group P2_1/m (No. 11)
One atom of each set of equivalent atoms:
Ga1 0.2339 0.2500 0.1941  5 Pt 2.53-2.70
B1 0.2222 0.7500 0.6590  6 Pt 2.12-2.29
Pt1 0.0048 0.7500 0.3250  3 B 2.21-2.29
Pt2 0.3179 0.7500 0.9780  1 B 2.12
Pt3 0.3828 0.2500 0.5936  2 B 2.15